(1)
VASP calculation (SCAN) on a PBEsol-optimized structure of Be2AgPb.

a = 4.0838 Å, b = 4.0838 Å, c = 3.7521 Å
α = 90.00°, β = 90.00°, γ = 90.00°
Last column: nearest neighbours and their distance in Å.
Fractional positions:
Be 0.0000 0.5000 0.0000  4 Pb 2.77, 4 Ag 2.77, 4 Be 2.89
Be 0.5000 0.0000 0.0000  4 Pb 2.77, 4 Ag 2.77, 4 Be 2.89
Ag 0.0000 0.0000 0.5000  8 Be 2.77, 4 Pb 2.89
Pb 0.5000 0.5000 0.5000  8 Be 2.77, 4 Ag 2.89

Properties
Magnetization in Bohr magnetons per cell: 0.000
Density in g/cm³: 8.8
Calculated volume in Å³/f.u.: 62.6
Fermi-level density of states in states/eV per cell: 1.0
Crystal system: tetragonal
Uncorrected energy in Ry/atom: -2.0871

(2)
VASP calculation (SCAN) on a PBEsol-optimized structure of Be2AgPb.

a = 3.1732 Å, b = 3.7886 Å, c = 5.6386 Å
α = 90.00°, β = 105.97°, γ = 90.00°
Last column: nearest neighbours and their distance in Å.
Fractional positions:
Be 0.0000 0.0000 0.0000  2 Be 2.29, 4 Ag 2.52
Be 0.1163 0.5000 0.2367  2 Be 2.29, 2 Ag 2.39
Ag 0.4548 0.5000 0.9067  6 Be 2.39-2.52
Pb 0.7305 0.0000 0.4754  7 Be 2.78-3.03

Properties
Magnetization in Bohr magnetons per cell: 0.000
Density in g/cm³: 8.5
Calculated volume in Å³/f.u.: 65.2
Fermi-level density of states in states/eV per cell: 1.0
Crystal system: monoclinic
Uncorrected energy in Ry/atom: -2.0985

(3)
VASP calculation (SCAN) on a PBEsol-optimized structure of Be2AgPb.

a = 2.9953 Å, b = 3.2576 Å, c = 6.6784 Å
α = 90.00°, β = 90.00°, γ = 90.00°
Last column: nearest neighbours and their distance in Å.
Fractional positions:
Be 0.0000 0.0000 0.1716  1 Be 2.29, 4 Ag 2.49
Be 0.0000 0.0000 0.8284  1 Be 2.29, 4 Ag 2.49
Ag 0.5000 0.5000 0.0000  8 Be 2.49
Pb 0.5000 0.5000 0.5000  4 Pb 3.00-3.26, 8 Be 3.12, 2 Ag 3.34

Properties
Magnetization in Bohr magnetons per cell: 0.000
Density in g/cm³: 8.5
Calculated volume in Å³/f.u.: 65.2
Fermi-level density of states in states/eV per cell: 1.1
Crystal system: orthorhombic
Uncorrected energy in Ry/atom: -2.0953

(4)
VASP calculation (SCAN) on a PBEsol-optimized structure of Be2AgPd.

a = 6.1927 Å, b = 6.1927 Å, c = 5.2945 Å
α = 90.00°, β = 90.00°, γ = 90.00°
Last column: nearest neighbours and their distance in Å.
Fractional positions:
Be 0.2370 0.2500 0.1250  2 Pd 2.23, 2 Ag 2.34
Be 0.2500 0.7370 0.3750  2 Pd 2.23, 2 Ag 2.34
Be 0.2500 0.7630 0.8750  2 Pd 2.23, 2 Ag 2.34
Be 0.2630 0.2500 0.6250  2 Pd 2.23, 2 Ag 2.34
Be 0.7370 0.7500 0.6250  2 Pd 2.23, 2 Ag 2.34
Be 0.7500 0.2370 0.8750  2 Pd 2.23, 2 Ag 2.34
Be 0.7500 0.2630 0.3750  2 Pd 2.23, 2 Ag 2.34
Be 0.7630 0.7500 0.1250  2 Pd 2.23, 2 Ag 2.34
Ag 0.0000 0.0000 0.5000  4 Be 2.34
Ag 0.0000 0.5000 0.7500  4 Be 2.34
Ag 0.5000 0.0000 0.2500  4 Be 2.34
Ag 0.5000 0.5000 0.0000  4 Be 2.34
Pd 0.0000 0.0000 0.0000  4 Be 2.23
Pd 0.0000 0.5000 0.2500  4 Be 2.23
Pd 0.5000 0.0000 0.7500  4 Be 2.23
Pd 0.5000 0.5000 0.5000  4 Be 2.23

Properties
Magnetization in Bohr magnetons per cell: 0.000
Density in g/cm³: 7.6
Calculated volume in Å³/f.u.: 50.8
Fermi-level density of states in states/eV per cell: 3.9
Crystal system: tetragonal
Uncorrected energy in Ry/atom: -1.3353

(5)
VASP calculation (SCAN) on a PBEsol-optimized structure of BeAg3Pd.

a = 4.2827 Å, b = 4.2827 Å, c = 4.2827 Å
α = 90.00°, β = 90.00°, γ = 90.00°
Last column: nearest neighbours and their distance in Å.
Fractional positions:
Be 0.0000 0.0000 0.0000  6 Ag 2.14
Ag 0.0000 0.0000 0.5000  2 Be 2.14
Ag 0.0000 0.5000 0.0000  2 Be 2.14
Ag 0.5000 0.0000 0.0000  2 Be 2.14
Pd 0.5000 0.5000 0.5000  12 Ag 3.03

Properties
Magnetization in Bohr magnetons per cell: 0.000
Density in g/cm³: 9.3
Calculated volume in Å³/f.u.: 78.5
Fermi-level density of states in states/eV per cell: 1.8
Crystal system: cubic
Uncorrected energy in Ry/atom: -1.9008

(6)
VASP calculation (SCAN) on a PBEsol-optimized structure of Be2AgPt.

a = 3.3973 Å, b = 3.3973 Å, c = 8.3938 Å
α = 90.00°, β = 90.00°, γ = 90.00°
Last column: nearest neighbours and their distance in Å.
Fractional positions:
Be 0.0000 0.0000 0.0000  4 Pt 2.40
Be 0.0000 0.5000 0.2500  4 Ag 2.40
Be 0.5000 0.0000 0.7500  4 Ag 2.40
Be 0.5000 0.5000 0.5000  4 Pt 2.40
Ag 0.0000 0.5000 0.7500  4 Be 2.40
Ag 0.5000 0.0000 0.2500  4 Be 2.40
Pt 0.0000 0.0000 0.5000  4 Be 2.40
Pt 0.5000 0.5000 0.0000  4 Be 2.40

Properties
Magnetization in Bohr magnetons per cell: 0.000
Density in g/cm³: 11.0
Calculated volume in Å³/f.u.: 48.4
Fermi-level density of states in states/eV per cell: 2.2
Crystal system: tetragonal
Uncorrected energy in Ry/atom: -2.0462

(7)
VASP calculation (SCAN) on a PBEsol-optimized structure of Be2AgPt.

a = 2.7962 Å, b = 3.9532 Å, c = 8.6893 Å
α = 90.00°, β = 90.00°, γ = 90.00°
Last column: nearest neighbours and their distance in Å.
Fractional positions:
Be 0.0000 0.0000 0.0000  2 Pt 2.37, 4 Ag 2.42, 2 Be 2.53
Be 0.0000 0.5000 0.2580  4 Pt 2.44, 2 Be 2.53, 2 Ag 2.66
Be 0.5000 0.0000 0.7580  4 Pt 2.44, 2 Be 2.53, 2 Ag 2.66
Be 0.5000 0.5000 0.5000  2 Pt 2.37, 4 Ag 2.42, 2 Be 2.53
Ag 0.0000 0.0000 0.4979  6 Be 2.42-2.66
Ag 0.5000 0.5000 0.9979  6 Be 2.42-2.66
Pt 0.0000 0.5000 0.7206  6 Be 2.37-2.44
Pt 0.5000 0.0000 0.2206  6 Be 2.37-2.44

Properties
Magnetization in Bohr magnetons per cell: 0.000
Density in g/cm³: 11.1
Calculated volume in Å³/f.u.: 48.0
Fermi-level density of states in states/eV per cell: 1.8
Crystal system: orthorhombic
Uncorrected energy in Ry/atom: -2.0510

(8)
VASP calculation (SCAN) on a PBEsol-optimized structure of Be2AgPt.

a = 5.7307 Å, b = 5.7307 Å, c = 5.7307 Å
α = 90.00°, β = 90.00°, γ = 90.00°
Last column: nearest neighbours and their distance in Å.
Fractional positions:
Be 0.2500 0.2500 0.2500  4 Pt 2.48, 4 Ag 2.48
Be 0.2500 0.2500 0.7500  4 Pt 2.48, 4 Ag 2.48
Be 0.2500 0.7500 0.2500  4 Pt 2.48, 4 Ag 2.48
Be 0.2500 0.7500 0.7500  4 Pt 2.48, 4 Ag 2.48
Be 0.7500 0.2500 0.2500  4 Pt 2.48, 4 Ag 2.48
Be 0.7500 0.2500 0.7500  4 Pt 2.48, 4 Ag 2.48
Be 0.7500 0.7500 0.2500  4 Ag 2.48, 4 Pt 2.48
Be 0.7500 0.7500 0.7500  4 Pt 2.48, 4 Ag 2.48
Ag 0.0000 0.0000 0.0000  8 Be 2.48
Ag 0.0000 0.5000 0.5000  8 Be 2.48
Ag 0.5000 0.0000 0.5000  8 Be 2.48
Ag 0.5000 0.5000 0.0000  8 Be 2.48
Pt 0.0000 0.0000 0.5000  8 Be 2.48
Pt 0.0000 0.5000 0.0000  8 Be 2.48
Pt 0.5000 0.0000 0.0000  8 Be 2.48
Pt 0.5000 0.5000 0.5000  8 Be 2.48

Properties
Magnetization in Bohr magnetons per cell: 0.000
Density in g/cm³: 11.3
Calculated volume in Å³/f.u.: 47.0
Fermi-level density of states in states/eV per cell: 4.0
Crystal system: cubic
Uncorrected energy in Ry/atom: -2.0579

(9)
VASP calculation (SCAN) on a PBEsol-optimized structure of BeAgPt.

a = 4.0506 Å, b = 4.0506 Å, c = 2.8807 Å
α = 90.00°, β = 90.00°, γ = 120.00°
Last column: nearest neighbours and their distance in Å.
Fractional positions:
Be 0.0000 0.0000 0.0000  3 Pt 2.34
Ag 0.6667 0.3333 0.5067  6 Be 2.74-2.76, 6 Pt 2.75, 2 Ag 2.88
Pt 0.3333 0.6667 0.0075  3 Be 2.34

Properties
Magnetization in Bohr magnetons per cell: 0.000
Density in g/cm³: 12.7
Calculated volume in Å³/f.u.: 40.9
Fermi-level density of states in states/eV per cell: 0.8
Crystal system: trigonal
Uncorrected energy in Ry/atom: -2.6109

(10)
VASP calculation (SCAN) on a PBEsol-optimized structure of BeRe2Ag.

a = 3.6189 Å, b = 3.6189 Å, c = 4.2553 Å
α = 90.00°, β = 90.00°, γ = 90.00°
Last column: nearest neighbours and their distance in Å.
Fractional positions:
Be 0.0000 0.0000 0.0000  4 Ag 2.56, 8 Re 2.79
Re 0.0000 0.5000 0.5000  4 Re 2.56, 4 Be 2.79, 4 Ag 2.79
Re 0.5000 0.0000 0.5000  4 Re 2.56, 4 Be 2.79, 4 Ag 2.79
Ag 0.5000 0.5000 0.0000  4 Be 2.56, 8 Re 2.79

Properties
Magnetization in Bohr magnetons per cell: 0.000
Density in g/cm³: 14.6
Calculated volume in Å³/f.u.: 55.7
Fermi-level density of states in states/eV per cell: 2.9
Crystal system: tetragonal
Uncorrected energy in Ry/atom: -3.2283

(11)
VASP calculation (SCAN) on a PBEsol-optimized structure of BeRe2Ag.

a = 2.7394 Å, b = 3.9227 Å, c = 5.3246 Å
α = 90.00°, β = 103.64°, γ = 90.00°
Last column: nearest neighbours and their distance in Å.
Fractional positions:
Be 0.0000 0.0000 0.0000  2 Ag 2.32, 1 Re 2.38
Re 0.3001 0.0000 0.4568  1 Be 2.38, 2 Re 2.55
Re 0.6208 0.5000 0.2353  6 Re 2.55-2.77, 4 Be 2.67-2.70, 3 Ag 2.73-2.85
Ag 0.9364 0.5000 0.7621  2 Be 2.32

Properties
Magnetization in Bohr magnetons per cell: 0.000
Density in g/cm³: 14.6
Calculated volume in Å³/f.u.: 55.6
Fermi-level density of states in states/eV per cell: 2.2
Crystal system: monoclinic
Uncorrected energy in Ry/atom: -3.2448

(12)
VASP calculation (SCAN) on a PBEsol-optimized structure of BeRe2Ag.

a = 2.9027 Å, b = 2.9027 Å, c = 6.5689 Å
α = 90.00°, β = 90.00°, γ = 90.00°
Last column: nearest neighbours and their distance in Å.
Fractional positions:
Be 0.0000 0.0000 0.0000  4 Re 2.49, 4 Ag 2.55
Re 0.0000 0.0000 0.4453  4 Re 2.55
Re 0.5000 0.5000 0.2141  4 Be 2.49, 4 Re 2.55
Ag 0.5000 0.5000 0.7702  4 Be 2.55

Properties
Magnetization in Bohr magnetons per cell: 0.000
Density in g/cm³: 14.7
Calculated volume in Å³/f.u.: 55.3
Fermi-level density of states in states/eV per cell: 3.2
Crystal system: tetragonal
Uncorrected energy in Ry/atom: -3.2551

(13)
VASP calculation (SCAN) on a PBEsol-optimized structure of Be2ReAg.

a = 3.3277 Å, b = 3.3277 Å, c = 8.6222 Å
α = 90.00°, β = 90.00°, γ = 90.00°
Last column: nearest neighbours and their distance in Å.
Fractional positions:
Be 0.0000 0.0000 0.0000  4 Re 2.35
Be 0.0000 0.5000 0.2500  4 Ag 2.35
Be 0.5000 0.0000 0.7500  4 Ag 2.35
Be 0.5000 0.5000 0.5000  4 Re 2.35
Re 0.0000 0.0000 0.5000  4 Be 2.35
Re 0.5000 0.5000 0.0000  4 Be 2.35
Ag 0.0000 0.5000 0.7500  4 Be 2.35
Ag 0.5000 0.0000 0.2500  4 Be 2.35

Properties
Magnetization in Bohr magnetons per cell: 0.000
Density in g/cm³: 10.9
Calculated volume in Å³/f.u.: 47.7
Fermi-level density of states in states/eV per cell: 2.7
Crystal system: tetragonal
Uncorrected energy in Ry/atom: -2.0155

(14)
VASP calculation (SCAN) on a PBEsol-optimized structure of BeAgRh.

a = 5.4443 Å, b = 5.4443 Å, c = 5.4443 Å
α = 90.00°, β = 90.00°, γ = 90.00°
Last column: nearest neighbours and their distance in Å.
Fractional positions:
Be 0.0000 0.0000 0.0000  4 Rh 2.36, 4 Ag 2.36
Be 0.0000 0.5000 0.5000  4 Ag 2.36, 4 Rh 2.36
Be 0.5000 0.0000 0.5000  4 Ag 2.36, 4 Rh 2.36
Be 0.5000 0.5000 0.0000  4 Ag 2.36, 4 Rh 2.36
Ag 0.2500 0.2500 0.7500  4 Be 2.36
Ag 0.2500 0.7500 0.2500  4 Be 2.36
Ag 0.7500 0.2500 0.2500  4 Be 2.36
Ag 0.7500 0.7500 0.7500  4 Be 2.36
Rh 0.2500 0.2500 0.2500  4 Be 2.36
Rh 0.2500 0.7500 0.7500  4 Be 2.36
Rh 0.7500 0.2500 0.7500  4 Be 2.36
Rh 0.7500 0.7500 0.2500  4 Be 2.36

Properties
Magnetization in Bohr magnetons per cell: 0.000
Density in g/cm³: 9.0
Calculated volume in Å³/f.u.: 40.3
Fermi-level density of states in states/eV per cell: 4.6
Crystal system: cubic
Uncorrected energy in Ry/atom: -1.7055

(15)
VASP calculation (SCAN) on a PBEsol-optimized structure of Be2AgRh.

a = 2.8315 Å, b = 2.8315 Å, c = 5.6499 Å
α = 90.00°, β = 90.00°, γ = 90.00°
Last column: nearest neighbours and their distance in Å.
Fractional positions:
Be 0.0000 0.0000 0.2111  4 Rh 2.33, 1 Be 2.38, 4 Ag 2.58
Be 0.0000 0.0000 0.7889  4 Rh 2.33, 1 Be 2.38, 4 Ag 2.58
Ag 0.5000 0.5000 0.5000  8 Be 2.58, 2 Rh 2.82, 4 Ag 2.83
Rh 0.5000 0.5000 0.0000  8 Be 2.33

Properties
Magnetization in Bohr magnetons per cell: 0.000
Density in g/cm³: 8.4
Calculated volume in Å³/f.u.: 45.3
Fermi-level density of states in states/eV per cell: 0.7
Crystal system: tetragonal
Uncorrected energy in Ry/atom: -1.3912